# SrCa3Os | Alexandria | PBE | optimized geometry
data_SrCa3Os
_chemical_formula_sum 'Sr1 Ca3 Os1'
_cell_length_a 5.672
_cell_length_b 5.672
_cell_length_c 5.672
_cell_angle_alpha 90.00
_cell_angle_beta 90.00
_cell_angle_gamma 90.00
_space_group_name_H-M_alt 'P m -3 m'
_space_group_IT_number 221
_space_group_name_Hall '-P 4 2 3'
loop_
_atom_site_label
_atom_site_type_symbol
_atom_site_fract_x
_atom_site_fract_y
_atom_site_fract_z
Sr1 Sr 0.000 0.000 0.000
Ca1 Ca 0.000 0.500 0.500
Os1 Os 0.500 0.500 0.500
# crystal system = cubic
# offset from the most stable computed form = 0.00 kcal/mol of atoms
# E_form = 0.271 eV per atom

# K3Pu3HfTe8 | Alexandria | PBE | optimized geometry
data_K3Pu3HfTe8
_chemical_formula_sum 'K9 Pu9 Hf3 Te24'
_cell_length_a 8.8913
_cell_length_b 8.8913
_cell_length_c 25.1737
_cell_angle_alpha 90.00
_cell_angle_beta 90.00
_cell_angle_gamma 120.00
_space_group_name_H-M_alt 'R -3 m'
_space_group_IT_number 166
_space_group_name_Hall '-R 3 2"'
loop_
_atom_site_label
_atom_site_type_symbol
_atom_site_fract_x
_atom_site_fract_y
_atom_site_fract_z
K1 K 0.0000 0.5000 0.0000
Pu1 Pu 0.0000 0.5000 0.5000
Hf1 Hf 0.0000 0.0000 0.5000
Te1 Te 0.0000 0.0000 0.2367
Te2 Te 0.0194 0.5097 0.2332
# formation energy without anion corrections = -15.63 eV per formula unit
# crystal system = trigonal

# AcLa3Ho2Te6 | Alexandria | PBE | optimized geometry
data_AcLa3Ho2Te6
_chemical_formula_sum 'Ac2 La6 Ho4 Te12'
_cell_length_a 7.817
_cell_length_b 13.597
_cell_length_c 7.861
_cell_angle_alpha 90.00
_cell_angle_beta 109.55
_cell_angle_gamma 90.00
_space_group_name_H-M_alt 'C 1 2/m 1'
_space_group_IT_number 12
loop_
_space_group_symop_operation_xyz
'x,y,z'
'-x,-y,-z'
'-x,y,-z'
'x,-y,z'
'x+1/2,y+1/2,z'
'-x+1/2,-y+1/2,-z'
'-x+1/2,y+1/2,-z'
'x+1/2,-y+1/2,z'
loop_
_atom_site_label
_atom_site_type_symbol
_atom_site_fract_x
_atom_site_fract_y
_atom_site_fract_z
Ac1 Ac 0.000 0.000 0.000
La1 La 0.000 0.156 0.500
La2 La 0.000 0.500 0.500
Ho1 Ho 0.000 0.332 0.000
Te1 Te 0.225 0.500 0.232
Te2 Te 0.243 0.324 0.756
# formation energy without anion corrections = -17.45 eV per formula unit
# crystal system = monoclinic

# Pr2Ni12P3Pt | Alexandria | PBE | optimized geometry
data_Pr2Ni12P3Pt
_chemical_formula_sum 'Pr6 Ni36 P9 Pt3'
_cell_length_a 7.6041
_cell_length_b 7.6041
_cell_length_c 17.4843
_cell_angle_alpha 90.00
_cell_angle_beta 90.00
_cell_angle_gamma 120.00
_space_group_name_H-M_alt 'R -3 m'
_space_group_IT_number 166
_space_group_name_Hall '-R 3 2"'
loop_
_atom_site_label
_atom_site_type_symbol
_atom_site_fract_x
_atom_site_fract_y
_atom_site_fract_z
Pr1 Pr 0.0000 0.0000 0.1109
Ni1 Ni 0.0083 0.5042 0.8787
Ni2 Ni 0.0387 0.5194 0.3604
P1 P 0.0000 0.5000 0.0000
Pt1 Pt 0.0000 0.0000 0.5000
# crystal system = trigonal
# E_form = -0.015 eV per atom

# LaTeH | Alexandria | PBE | optimized geometry
data_LaTeH
_chemical_formula_sum 'La4 Te4 H4'
_cell_length_a 6.438
_cell_length_b 7.058
_cell_length_c 7.418
_cell_angle_alpha 90.00
_cell_angle_beta 115.72
_cell_angle_gamma 90.00
_space_group_name_H-M_alt 'C 1 2/m 1'
_space_group_IT_number 12
loop_
_space_group_symop_operation_xyz
'x,y,z'
'-x,-y,-z'
'-x,y,-z'
'x,-y,z'
'x+1/2,y+1/2,z'
'-x+1/2,-y+1/2,-z'
'-x+1/2,y+1/2,-z'
'x+1/2,-y+1/2,z'
loop_
_atom_site_label
_atom_site_type_symbol
_atom_site_fract_x
_atom_site_fract_y
_atom_site_fract_z
La1 La 0.158 0.000 0.316
Te1 Te 0.250 0.250 0.000
H1 H 0.000 0.250 0.500
# crystal system = monoclinic
# uncorrected energy = -54.5 eV/cell

# CaSn2CF | Alexandria | PBE | optimized geometry
data_CaSn2CF
_chemical_formula_sum 'Ca1 Sn2 C1 F1'
_cell_length_a 4.597
_cell_length_b 4.597
_cell_length_c 5.315
_cell_angle_alpha 90.00
_cell_angle_beta 90.00
_cell_angle_gamma 90.00
_space_group_name_H-M_alt 'P 4/m m m'
_space_group_IT_number 123
_space_group_name_Hall '-P 4 2'
loop_
_atom_site_label
_atom_site_type_symbol
_atom_site_fract_x
_atom_site_fract_y
_atom_site_fract_z
Ca1 Ca 0.000 0.000 0.000
Sn1 Sn 0.000 0.500 0.500
C1 C 0.000 0.000 0.500
F1 F 0.500 0.500 0.000
# formation energy without anion corrections = -0.28 eV per formula unit
# crystal system = tetragonal

# YVSi2 | Alexandria | PBE | optimized geometry
data_YVSi2
_chemical_formula_sum 'Y4 V4 Si8'
_cell_length_a 4.656
_cell_length_b 4.656
_cell_length_c 16.176
_cell_angle_alpha 90.00
_cell_angle_beta 90.00
_cell_angle_gamma 90.00
_space_group_name_H-M_alt 'I -4 2 d'
_space_group_IT_number 122
_space_group_name_Hall 'I -4 2bw'
loop_
_atom_site_label
_atom_site_type_symbol
_atom_site_fract_x
_atom_site_fract_y
_atom_site_fract_z
Y1 Y 0.000 0.000 0.000
V1 V 0.000 0.000 0.500
Si1 Si 0.056 0.250 0.625
# formation energy without anion corrections = -0.03 eV per formula unit
# crystal system = tetragonal
# offset from the most stable computed form = 2.30 kcal/mol of atoms

# NaPmTe2Au | Alexandria | PBE | optimized geometry
data_NaPmTe2Au
_chemical_formula_sum 'Na2 Pm2 Te4 Au2'
_cell_length_a 7.824
_cell_length_b 4.893
_cell_length_c 8.279
_cell_angle_alpha 90.00
_cell_angle_beta 97.02
_cell_angle_gamma 90.00
_space_group_name_H-M_alt 'P 1 2/c 1'
_space_group_IT_number 13
loop_
_space_group_symop_operation_xyz
'x,y,z'
'-x,-y,-z'
'-x,y,-z+1/2'
'x,-y,z+1/2'
loop_
_atom_site_label
_atom_site_type_symbol
_atom_site_fract_x
_atom_site_fract_y
_atom_site_fract_z
Na1 Na 0.000 0.132 0.250
Pm1 Pm 0.500 0.496 0.750
Te1 Te 0.212 0.326 0.970
Au1 Au 0.500 0.000 0.000
# formation energy without anion corrections = -4.15 eV per formula unit
# crystal system = monoclinic

# Ca4ScCd5 | Alexandria | PBE | optimized geometry
data_Ca4ScCd5
_chemical_formula_sum 'Ca4 Sc1 Cd5'
_cell_length_a 3.747
_cell_length_b 3.747
_cell_length_c 19.101
_cell_angle_alpha 90.00
_cell_angle_beta 90.00
_cell_angle_gamma 90.00
_space_group_name_H-M_alt 'P 4/m m m'
_space_group_IT_number 123
_space_group_name_Hall '-P 4 2'
loop_
_atom_site_label
_atom_site_type_symbol
_atom_site_fract_x
_atom_site_fract_y
_atom_site_fract_z
Ca1 Ca 0.000 0.000 0.104
Ca2 Ca 0.000 0.000 0.310
Sc1 Sc 0.000 0.000 0.500
Cd1 Cd 0.500 0.500 0.000
Cd2 Cd 0.500 0.500 0.207
Cd3 Cd 0.500 0.500 0.416
# crystal system = tetragonal
# E_form = -0.336 eV per atom

# Er2Co5P4 | Alexandria | PBE | optimized geometry
data_Er2Co5P4
_chemical_formula_sum 'Er8 Co20 P16'
_cell_length_a 5.100
_cell_length_b 9.116
_cell_length_c 13.061
_cell_angle_alpha 90.00
_cell_angle_beta 90.00
_cell_angle_gamma 90.00
_space_group_name_H-M_alt 'F m m m'
_space_group_IT_number 69
_space_group_name_Hall '-F 2 2'
loop_
_atom_site_label
_atom_site_type_symbol
_atom_site_fract_x
_atom_site_fract_y
_atom_site_fract_z
Er1 Er 0.000 0.000 0.137
Co1 Co 0.000 0.000 0.500
Co2 Co 0.250 0.250 0.000
Co3 Co 0.250 0.250 0.250
P1 P 0.000 0.157 0.370
# crystal system = orthorhombic
# E_form = -0.827 eV per atom

# NbGe2Ru3 | Alexandria | PBE | optimized geometry
data_NbGe2Ru3
_chemical_formula_sum 'Nb1 Ge2 Ru3'
_cell_length_a 3.035
_cell_length_b 3.035
_cell_length_c 9.564
_cell_angle_alpha 90.00
_cell_angle_beta 90.00
_cell_angle_gamma 90.00
_space_group_name_H-M_alt 'P 4/m m m'
_space_group_IT_number 123
_space_group_name_Hall '-P 4 2'
loop_
_atom_site_label
_atom_site_type_symbol
_atom_site_fract_x
_atom_site_fract_y
_atom_site_fract_z
Nb1 Nb 0.000 0.000 0.000
Ge1 Ge 0.000 0.000 0.339
Ru1 Ru 0.500 0.500 0.186
Ru2 Ru 0.500 0.500 0.500
# crystal system = tetragonal
# E_form = -0.264 eV per atom

# Sm8CdIn5 | Alexandria | PBE | optimized geometry
data_Sm8CdIn5
_chemical_formula_sum 'Sm16 Cd2 In10'
_cell_length_a 9.480
_cell_length_b 9.480
_cell_length_c 9.512
_cell_angle_alpha 90.00
_cell_angle_beta 90.00
_cell_angle_gamma 90.00
_space_group_name_H-M_alt 'I -4'
_space_group_IT_number 82
loop_
_space_group_symop_operation_xyz
'x,y,z'
'y,-x,-z'
'-x,-y,z'
'-y,x,-z'
'x+1/2,y+1/2,z+1/2'
'y+1/2,-x+1/2,-z+1/2'
'-x+1/2,-y+1/2,z+1/2'
'-y+1/2,x+1/2,-z+1/2'
loop_
_atom_site_label
_atom_site_type_symbol
_atom_site_fract_x
_atom_site_fract_y
_atom_site_fract_z
Sm1 Sm 0.074 0.173 0.298
Sm2 Sm 0.078 0.322 0.945
Cd1 Cd 0.000 0.500 0.250
In1 In 0.000 0.000 0.000
In2 In 0.126 0.250 0.622
# crystal system = tetragonal
# E_form = -0.297 eV per atom